(1)
Here is a relaxed Sr2Fe crystal from OQMD. Energies are from PBE.

E_tot in eV/cell: -9.7

Unit cell a=7.8946 b=7.8946 c=7.8946 alpha=30.31 beta=30.31 gamma=30.31
Positions (direct):
Fe1 0.0000 0.0000 0.0000
Sr1 0.2462 0.2462 0.2462
Sr2 0.7538 0.7538 0.7538



(2)
Here is a relaxed MgInGaPt crystal from OQMD. Energies are from PBE.

E_tot in eV/cell: -14.6

Unit cell a=4.7313 b=4.7313 c=4.7313 alpha=60.00 beta=60.00 gamma=60.00
Positions (direct):
Ga1 0.0000 0.0000 0.0000
In1 0.2500 0.2500 0.2500
Mg1 0.7500 0.7500 0.7500
Pt1 0.5000 0.5000 0.5000



(3)
Here is a relaxed Ta2Sb2O5 crystal from OQMD. Energies are from PBE.

E_tot in eV/cell: -63.2

Unit cell a=9.2363 b=3.4282 c=3.4282 alpha=90.00 beta=90.00 gamma=90.00
Positions (direct):
O1 0.3364 0.5000 0.0000
O2 0.6636 0.5000 0.0000
O3 0.3364 0.0000 0.5000
O4 0.6636 0.0000 0.5000
O5 0.5000 0.5000 0.5000
Sb1 0.2005 0.5000 0.5000
Sb2 0.7995 0.5000 0.5000
Ta1 0.0000 0.0000 0.0000
Ta2 0.5000 0.0000 0.0000



(4)
Here is a relaxed AcLuAg crystal from OQMD. Energies are from PBE.

Energy of formation from the pure elements in eV per atom: 0.06

Unit cell a=5.2146 b=5.2146 c=5.2146 alpha=60.00 beta=60.00 gamma=60.00
Positions (direct):
Ac1 0.0000 0.0000 0.0000
Ag1 0.7500 0.7500 0.7500
Lu1 0.5000 0.5000 0.5000